Entry 1:
Density functional theory data (PBE) for a relaxed KLaNbTc2 crystal.

Calculated values
The calculation puts the total energy at -26.37 eV per cell.

abc: 4.8211 5.2376 4.8211
angles: 90.00 90.00 90.00
With the nearest neighbours (Å) after each atom.
Atoms (fractional coordinates):
Tc 0.0000 0.0000 0.5000  2 La 2.41
Tc 0.5000 0.0000 0.0000  2 La 2.41
K 0.0000 0.5000 0.0000  2 La 2.62
Nb 0.5000 0.5000 0.5000  4 K 3.41, 8 Tc 3.56
La 0.0000 0.0000 0.0000  4 Tc 2.41, 2 K 2.62

Entry 2:
Density functional theory data (PBE) for a relaxed Cd2Cu2Pt7 crystal.

Calculated values
The calculation puts the total energy at -53.53 eV per cell.

abc: 4.8248 4.8248 8.7493
angles: 100.75 100.75 108.78
With the nearest neighbours (Å) after each atom.
Atoms (fractional coordinates):
Pt 0.0000 0.0000 0.0000  10 Pt 2.75-2.77
Pt 0.0827 0.5820 0.1631  7 Pt 2.70-2.81, 2 Cd 2.78-2.79, 1 Cu 2.79
Pt 0.5820 0.0827 0.1631  7 Pt 2.70-2.81, 2 Cd 2.78-2.79, 1 Cu 2.79
Pt 0.1660 0.1660 0.3315  5 Pt 2.75-2.79, 4 Cu 2.79, 3 Cd 2.80-2.81
Pt 0.4180 0.9173 0.8369  7 Pt 2.70-2.81, 2 Cd 2.78-2.79, 1 Cu 2.79
Pt 0.9173 0.4180 0.8369  7 Pt 2.70-2.81, 2 Cd 2.78-2.79, 1 Cu 2.79
Pt 0.8340 0.8340 0.6685  5 Pt 2.75-2.79, 4 Cu 2.79, 3 Cd 2.80-2.81
Cu 0.7499 0.2501 0.5000  6 Pt 2.79, 4 Cd 2.79, 2 Cu 2.81
Cu 0.2501 0.7499 0.5000  6 Pt 2.79, 4 Cd 2.79, 2 Cu 2.81
Cd 0.3338 0.3338 0.6687  7 Pt 2.78-2.81, 4 Cu 2.79
Cd 0.6662 0.6662 0.3313  7 Pt 2.78-2.81, 4 Cu 2.79

Entry 3:
Density functional theory data (PBE) for a relaxed HgP2Pb crystal.

Calculated values
The offset from the most stable computed form is 460 meV per atom.

abc: 4.0065 4.6955 4.6955
angles: 90.00 90.00 90.00
With the nearest neighbours (Å) after each atom.
Atoms (fractional coordinates):
Hg 0.5000 0.0000 0.5000  8 P 3.09, 4 Pb 3.32
Pb 0.5000 0.5000 0.0000  8 P 3.09, 4 Hg 3.32
P 0.0000 0.0000 0.0000  4 Hg 3.09, 4 Pb 3.09, 4 P 3.32
P 0.0000 0.5000 0.5000  4 Hg 3.09, 4 Pb 3.09, 4 P 3.32

Entry 4:
Density functional theory data (PBE) for a relaxed ScB3S crystal.

Calculated values
The offset from the most stable computed form is 0 meV per atom.

abc: 3.8531 3.8531 3.8531
angles: 90.00 90.00 90.00
With the nearest neighbours (Å) after each atom.
Atoms (fractional coordinates):
B 0.5000 0.0000 0.0000  2 S 1.93
B 0.0000 0.0000 0.5000  2 S 1.93
B 0.0000 0.5000 0.0000  2 S 1.93
S 0.0000 0.0000 0.0000  6 B 1.93
Sc 0.5000 0.5000 0.5000  12 B 2.72

Entry 5:
Density functional theory data (PBE) for a relaxed TbSmZrIn crystal.

Calculated values
The calculation puts the total energy at -20.87 eV per cell.

abc: 5.3929 5.3929 5.3929
angles: 60.00 60.00 60.00
With the nearest neighbours (Å) after each atom.
Atoms (fractional coordinates):
Zr 0.7500 0.7500 0.7500  4 Sm 3.30, 4 Tb 3.30
In 0.2500 0.2500 0.2500  4 Sm 3.30, 4 Tb 3.30
Sm 0.0000 0.0000 0.0000  4 Zr 3.30, 4 In 3.30
Tb 0.5000 0.5000 0.5000  4 In 3.30, 4 Zr 3.30

Entry 6:
Density functional theory data (PBE) for a relaxed Na2YTl6 crystal.

Calculated values
The calculation puts the total energy at -48.60 eV per cell.

abc: 5.3137 9.8049 9.8054
angles: 90.00 90.00 90.00
With the nearest neighbours (Å) after each atom.
Atoms (fractional coordinates):
Tl 0.0000 0.0350 0.1637  3 Na 3.26-3.39, 6 Tl 3.27-3.53, 1 Y 3.32
Tl 0.5000 0.4650 0.6637  3 Na 3.26-3.39, 6 Tl 3.27-3.53, 1 Y 3.32
Tl 0.5000 0.1331 0.6330  2 Y 3.23, 2 Tl 3.27, 4 Na 3.39-3.48
Tl 0.0000 0.6637 0.5351  3 Na 3.26-3.39, 6 Tl 3.27-3.53, 1 Y 3.32
Tl 0.0000 0.6331 0.8670  2 Y 3.23, 2 Tl 3.27, 4 Na 3.39-3.48
Tl 0.5000 0.8363 0.0351  3 Na 3.26-3.39, 6 Tl 3.27-3.53, 1 Y 3.32
Tl 0.5000 0.5350 0.3363  3 Na 3.26-3.39, 6 Tl 3.27-3.53, 1 Y 3.32
Tl 0.5000 0.1637 0.9649  3 Na 3.26-3.39, 6 Tl 3.27-3.53, 1 Y 3.32
Tl 0.0000 0.3363 0.4649  3 Na 3.26-3.39, 6 Tl 3.27-3.53, 1 Y 3.32
Tl 0.0000 0.3669 0.1330  2 Y 3.23, 2 Tl 3.27, 4 Na 3.39-3.48
Tl 0.0000 0.9650 0.8363  3 Na 3.26-3.39, 6 Tl 3.27-3.53, 1 Y 3.32
Tl 0.5000 0.8669 0.3670  2 Y 3.23, 2 Tl 3.27, 4 Na 3.39-3.48
Y 0.5000 0.5000 0.0000  8 Tl 3.23-3.32
Y 0.0000 0.0000 0.5000  8 Tl 3.23-3.32
Na 0.5000 0.2049 0.2949  10 Tl 3.26-3.48
Na 0.5000 0.7951 0.7051  10 Tl 3.26-3.48
Na 0.0000 0.7049 0.2051  10 Tl 3.26-3.48
Na 0.0000 0.2951 0.7949  10 Tl 3.26-3.48

Entry 7:
Density functional theory data (PBE) for a relaxed MoW2Br crystal.

Calculated values
The offset from the most stable computed form is 110 meV per atom.

abc: 8.8244 8.8244 8.8244
angles: 20.01 20.01 20.01
With the nearest neighbours (Å) after each atom.
Atoms (fractional coordinates):
W 0.9989 0.9989 0.9989  3 W 2.62, 3 Mo 2.77
W 0.2577 0.2577 0.2577  3 W 2.62
Br 0.4956 0.4956 0.4956  3 Mo 2.75, 3 W 3.04, 6 Br 3.07
Mo 0.7477 0.7477 0.7477  3 Br 2.75, 3 W 2.77, 6 Mo 3.07

Entry 8:
Density functional theory data (PBE) for a relaxed Cs2TaCdBr6 crystal.

Calculated values
The calculation puts the total energy at -35.24 eV per cell.

abc: 8.4431 8.4431 8.4428
angles: 60.00 60.00 90.00
With the nearest neighbours (Å) after each atom.
Atoms (fractional coordinates):
Br 0.2170 0.2170 0.0000  1 Ta 2.59
Br 0.7830 0.2170 0.0000  1 Ta 2.59
Br 0.2170 0.7830 0.0000  1 Ta 2.59
Br 0.7830 0.7830 0.0000  1 Ta 2.59
Br 0.2170 0.2170 0.5660  1 Ta 2.59
Br 0.7830 0.7830 0.4340  1 Ta 2.59
Cs 0.2500 0.7500 0.5000  12 Br 4.24
Cs 0.7500 0.2500 0.5000  12 Br 4.24
Cd 0.5000 0.5000 0.0000  6 Br 3.38
Ta 0.0000 0.0000 0.0000  6 Br 2.59

Entry 9:
Density functional theory data (PBE) for a relaxed HfZr2Re crystal.

Calculated values
The offset from the most stable computed form is 0 meV per atom.

abc: 3.3255 3.3255 7.3634
angles: 90.00 90.00 90.00
With the nearest neighbours (Å) after each atom.
Atoms (fractional coordinates):
Hf 0.5000 0.5000 0.5000  8 Zr 3.14, 4 Hf 3.33
Zr 0.0000 0.0000 0.7821  4 Re 2.85, 4 Hf 3.14
Zr 0.0000 0.0000 0.2179  4 Re 2.85, 4 Hf 3.14
Re 0.5000 0.5000 0.0000  8 Zr 2.85

Entry 10:
Density functional theory data (PBE) for a relaxed TbHo3 crystal.

Calculated values
The offset from the most stable computed form is 0 meV per atom.

abc: 3.6075 5.5901 6.2474
angles: 90.00 90.00 90.00
With the nearest neighbours (Å) after each atom.
Atoms (fractional coordinates):
Ho 0.0000 0.5000 0.3337  10 Ho 3.49-3.61, 2 Tb 3.49
Ho 0.5000 0.0000 0.5001  8 Ho 3.48-3.61, 4 Tb 3.60-3.61
Ho 0.5000 0.5000 0.8333  4 Tb 3.48, 8 Ho 3.48-3.61
Tb 0.0000 0.0000 0.9994  10 Ho 3.48-3.61, 2 Tb 3.61

Entry 11:
Density functional theory data (PBE) for a relaxed PuNp2Ir crystal.

Calculated values
The calculation puts the total energy at -49.29 eV per cell.

abc: 4.7411 4.7411 4.7411
angles: 60.00 60.00 60.00
With the nearest neighbours (Å) after each atom.
Atoms (fractional coordinates):
Ir 0.5000 0.5000 0.5000  8 Np 2.90
Np 0.2500 0.2500 0.2500  4 Ir 2.90, 4 Pu 2.90
Np 0.7500 0.7500 0.7500  4 Ir 2.90, 4 Pu 2.90
Pu 0.0000 0.0000 0.0000  8 Np 2.90

Entry 12:
Density functional theory data (PBE) for a relaxed Be2ZnGa crystal.

Calculated values
The offset from the most stable computed form is 0 meV per atom.

abc: 4.1042 4.1042 4.1042
angles: 60.00 60.00 60.00
With the nearest neighbours (Å) after each atom.
Atoms (fractional coordinates):
Zn 0.0000 0.0000 0.0000  8 Be 2.51
Be 0.2500 0.2500 0.2500  4 Ga 2.51, 4 Zn 2.51
Be 0.7500 0.7500 0.7500  4 Zn 2.51, 4 Ga 2.51
Ga 0.5000 0.5000 0.5000  8 Be 2.51

| no. | calculated density (g cm⁻³) | calculated volume (Å³ per atom) |
| --- | --- | --- |
| 1 | 6.4 | 24.35 |
| 2 | 15.6 | 16.61 |
| 3 | 8.8 | 22.08 |
| 4 | 3.2 | 11.44 |
| 5 | 7.7 | 27.73 |
| 6 | 8.8 | 28.38 |
| 7 | 12.8 | 17.59 |
| 8 | 4.1 | 42.56 |
| 9 | 11.2 | 20.36 |
| 10 | 8.6 | 31.50 |
| 11 | 20.1 | 18.84 |
| 12 | 5.2 | 12.22 |